VASP calculation (GGA-PBE) on Ta2VAs2 after structural relaxation.

Computed properties:
Volume ... 16.3 A^3/atom
Spin magnetization ... 0.00 Bohr magnetons per cell
DFT total energy ... -8.6240 eV per atom
Calculated density ... 11462 kg/m³

a = 6.7802 Å, b = 6.7802 Å, c = 3.5464 Å
α = 90.00°, β = 90.00°, γ = 90.00°
Last column: nearest neighbours and their distance in Å.
Space group P4/mbm (No. 127)
Symmetry-distinct sites (fractional):
Ta 0.1518 0.3482 0.0000  6 As 2.59-2.71
V 0.0000 0.0000 0.5000  4 As 2.58
As 0.1509 0.6509 0.5000  2 V 2.58, 6 Ta 2.59-2.71



VASP calculation (GGA-PBE) on Ac2VCd after structural relaxation.

Computed properties:
Volume ... 33.9 A^3/atom
Spin magnetization ... 11.27 Bohr magnetons per cell
DFT total energy ... -3.8569 eV per atom
Calculated density ... 7562 kg/m³

a = 3.6616 Å, b = 3.6616 Å, c = 35.0281 Å
α = 90.00°, β = 90.00°, γ = 120.00°
Last column: nearest neighbours and their distance in Å.
Space group R-3m (No. 166, hexagonal axes)
Symmetry-distinct sites (fractional):
Ac 0.0000 0.0000 0.0869  1 V 3.04
V 0.0000 0.0000 0.0000  2 Ac 3.04
Cd 0.0000 0.0000 0.5000  6 Ac 3.50, 6 Cd 3.66



VASP calculation (GGA-PBE) on K4SmSb3O12 after structural relaxation.

Computed properties:
Volume ... 14.6 A^3/atom
Formation energy from raw total energies ... -1655 meV per atom
Spin magnetization ... 3.80 Bohr magnetons per cell
DFT total energy ... -5.7035 eV per atom
Calculated density ... 4918 kg/m³

a = 8.3559 Å, b = 8.3559 Å, c = 8.3559 Å
α = 90.00°, β = 90.00°, γ = 90.00°
Last column: nearest neighbours and their distance in Å.
Space group Im-3m (No. 229)
Symmetry-distinct sites (fractional):
K 0.2500 0.2500 0.2500  12 O 2.95-2.96
Sm 0.0000 0.0000 0.0000  6 O 2.26
Sb 0.0000 0.0000 0.5000  6 O 1.92-2.09
O 0.0000 0.0000 0.2708  1 Sb 1.92
O 0.0000 0.2500 0.5000  2 Sb 2.09



VASP calculation (GGA-PBE) on La3Rh2Pb4 after structural relaxation.

Computed properties:
Volume ... 27.7 A^3/atom
Spin magnetization ... 0.00 Bohr magnetons per cell
DFT total energy ... -5.4598 eV per atom
Calculated density ... 9675 kg/m³

a = 11.8258 Å, b = 4.9342 Å, c = 9.3069 Å
α = 90.00°, β = 113.45°, γ = 90.00°
Last column: nearest neighbours and their distance in Å.
Space group C2/m (No. 12)
Symmetry-distinct sites (fractional):
La 0.0000 0.0000 0.0000  6 Pb 3.15-3.43
La 0.1842 0.5000 0.6160  1 Rh 2.72
Rh 0.1020 0.5000 0.2987  1 La 2.72, 3 Pb 2.79-2.84
Pb 0.0104 0.0000 0.3431  2 Rh 2.79, 1 Pb 3.03
Pb 0.2186 0.5000 0.0843  1 Rh 2.84, 2 Pb 3.17



VASP calculation (GGA-PBE) on TiZnGe2 after structural relaxation.

Computed properties:
Volume ... 17.7 A^3/atom
Spin magnetization ... 0.00 Bohr magnetons per cell
DFT total energy ... -4.6860 eV per atom
Calculated density ... 6072 kg/m³

a = 2.9997 Å, b = 2.9997 Å, c = 27.2228 Å
α = 90.00°, β = 90.00°, γ = 120.00°
Last column: nearest neighbours and their distance in Å.
Space group R-3m (No. 166, hexagonal axes)
Symmetry-distinct sites (fractional):
Ti 0.0000 0.0000 0.0000  6 Ge 2.70, 6 Ti 3.00
Zn 0.0000 0.0000 0.5000  2 Ge 2.46
Ge 0.0000 0.0000 0.4095  1 Zn 2.46, 3 Ti 2.70



VASP calculation (GGA-PBE) on LiHgSe2 after structural relaxation.

Computed properties:
Volume ... 21.5 A^3/atom
Formation energy from raw total energies ... -306 meV per atom
Spin magnetization ... 0.00 Bohr magnetons per cell
DFT total energy ... -2.6021 eV per atom
Calculated density ... 7044 kg/m³

a = 3.7546 Å, b = 3.9597 Å, c = 11.5899 Å
α = 90.00°, β = 90.00°, γ = 90.00°
Last column: nearest neighbours and their distance in Å.
Space group Imm2 (No. 44)
Symmetry-distinct sites (fractional):
Li 0.0000 0.0000 0.0000  6 Se 2.72-2.77
Hg 0.0000 0.5000 0.2265  6 Se 2.84-3.02
Se 0.0000 0.0000 0.5425  4 Li 2.77, 2 Hg 2.84, 2 Se 3.02
Se 0.0000 0.5000 0.8386  2 Li 2.72, 2 Se 3.02, 4 Hg 3.02



VASP calculation (GGA-PBE) on ZnCuP after structural relaxation.

Computed properties:
Volume ... 15.8 A^3/atom
Spin magnetization ... 0.00 Bohr magnetons per cell
DFT total energy ... -3.6676 eV per atom
Calculated density ... 5597 kg/m³

a = 6.8670 Å, b = 3.9786 Å, c = 7.1358 Å
α = 90.00°, β = 103.20°, γ = 90.00°
Last column: nearest neighbours and their distance in Å.
Space group Cm (No. 8)
Symmetry-distinct sites (fractional):
Zn 0.0000 0.0000 0.0000  4 P 2.42-2.54
Zn 0.2402 0.5000 0.3042  4 P 2.51-2.53, 3 Cu 2.64-2.72
Cu 0.1524 0.0000 0.6711  3 P 2.28-2.30
Cu 0.4440 0.0000 0.4998  4 P 2.39-2.58, 3 Cu 2.57-2.59, 2 Zn 2.64
P 0.3191 0.5000 0.6667  3 Cu 2.28-2.30, 2 Zn 2.42-2.52
P 0.3693 0.0000 0.1553  1 Cu 2.39, 6 Zn 2.51-2.54



VASP calculation (GGA-PBE) on Li2AlAg after structural relaxation.

Computed properties:
Volume ... 16.7 A^3/atom
Spin magnetization ... 0.00 Bohr magnetons per cell
DFT total energy ... -2.6852 eV per atom
Calculated density ... 3701 kg/m³

a = 2.9289 Å, b = 2.9289 Å, c = 26.9483 Å
α = 90.00°, β = 90.00°, γ = 120.00°
Last column: nearest neighbours and their distance in Å.
Space group R-3m (No. 166, hexagonal axes)
Symmetry-distinct sites (fractional):
Li 0.0000 0.0000 0.2502  3 Ag 2.81, 3 Al 2.82, 6 Li 2.93
Al 0.0000 0.0000 0.5000  6 Li 2.82, 6 Al 2.93
Ag 0.0000 0.0000 0.0000  6 Li 2.81, 6 Ag 2.93